Entry from Alexandria: crystalline Tc2RhAu at its relaxed geometry (PBE).

Cell and atoms, written as CIF:
```
data_Tc2RhAu
_chemical_formula_sum 'Tc2 Rh1 Au1'
_symmetry_space_group_name_H-M 'P m m 2'
_symmetry_Int_Tables_number 25
_cell_length_a 2.7493
_cell_length_b 3.9209
_cell_length_c 5.6503
_cell_angle_alpha 90.00
_cell_angle_beta 90.00
_cell_angle_gamma 90.00
loop_
_symmetry_equiv_pos_as_xyz
'x,y,z'
'-x,-y,z'
'-x,y,z'
'x,-y,z'
loop_
_atom_site_label
_atom_site_type_symbol
_atom_site_fract_x
_atom_site_fract_y
_atom_site_fract_z
Tc1 Tc 0.0000 0.0000 0.0000
Tc2 Tc 0.5000 0.5000 0.2189
Rh1 Rh 0.5000 0.5000 0.7578
Au1 Au 0.0000 0.0000 0.4939
```

Values from the calculation:
total moment = 0.0 Bohr magnetons per cell
energy of formation from the pure elements = 0.1306 eV/atom
DOS(E_F) = 3.80 states/eV per cell